A) The following is a DFT calculation (PBE-GGA) of ZrP2AuS after structural relaxation.

The structure in extended XYZ format:
```
5
Lattice="4.710 0.000 0.000 0.000 4.710 0.000 0.000 0.000 4.810" Properties=species:S:1:pos:R:3 pbc="T T T"
P 0.000 2.355 0.000
P 2.355 0.000 0.000
S 0.000 0.000 2.405
Au 0.000 0.000 0.000
Zr 2.355 2.355 2.405
```

Results
Space group = No. 123

---

B) The following is a DFT calculation (PBE-GGA) of ZrP2AuS after structural relaxation.

The structure in extended XYZ format:
```
5
Lattice="5.070 0.000 0.000 0.000 5.070 0.000 0.000 0.000 4.865" Properties=species:S:1:pos:R:3 pbc="T T T"
P 0.000 2.535 0.000
P 2.535 0.000 0.000
S 0.000 0.000 2.432
Au 2.535 2.535 2.432
Zr 0.000 0.000 0.000
```

Results
Space group = No. 123

---

Stability, descending: B), A)

---

A) The following is a DFT calculation (PBE-GGA) of SbPAu2 after structural relaxation.

The structure in extended XYZ format:
```
4
Lattice="2.301 -4.404 -1.610 -1.190 -3.806 3.373 -3.033 3.415 -2.534" Properties=species:S:1:pos:R:3 pbc="T T T"
Sb -0.088 -2.547 -1.631
P 0.556 -4.105 0.882
Au 0.000 0.000 0.000
Au -1.834 -2.248 0.860
```

Results
Space group = No. 119

---

B) The following is a DFT calculation (PBE-GGA) of SbPAu2 after structural relaxation.

The structure in extended XYZ format:
```
4
Lattice="-1.375 4.454 -0.529 -3.749 -2.626 -1.025 -1.064 0.103 3.629" Properties=species:S:1:pos:R:3 pbc="T T T"
Sb -3.094 0.965 1.037
P -0.532 0.051 1.814
Au -0.688 2.227 -0.265
Au -1.875 -1.313 -0.513
```

Results
Space group = No. 65

---

C) The following is a DFT calculation (PBE-GGA) of SbPAu2 after structural relaxation.

The structure in extended XYZ format:
```
4
Lattice="-2.256 0.234 6.159 -5.826 1.587 2.572 3.477 -3.468 -4.355" Properties=species:S:1:pos:R:3 pbc="T T T"
Sb -0.952 -1.265 2.590
P -4.073 0.918 4.400
Au -8.016 1.806 8.660
Au -3.688 -0.374 1.824
```

Results
Space group = No. 44

---

Stability, descending: C), B), A)

---

A) The following is a DFT calculation (PBE-GGA) of SbPAu2 after structural relaxation.

The structure in extended XYZ format:
```
4
Lattice="0.000 3.409 3.409 3.409 0.000 3.409 3.409 3.409 0.000" Properties=species:S:1:pos:R:3 pbc="T T T"
Sb 3.409 3.409 3.409
Au 1.705 1.705 1.705
Au 5.114 5.114 5.114
P 0.000 0.000 0.000
```

Results
Space group = No. 225

---

B) The following is a DFT calculation (PBE-GGA) of SbPAu2 after structural relaxation.

The structure in extended XYZ format:
```
4
Lattice="-0.166 -3.839 -5.325 -2.410 -5.536 -2.582 -3.821 -2.541 -4.698" Properties=species:S:1:pos:R:3 pbc="T T T"
Sb -3.199 -5.958 -6.303
P 0.000 0.000 0.000
Au -4.718 -8.788 -9.296
Au -1.680 -3.129 -3.309
```

Results
Space group = No. 166

---

Stability, descending: B), A)

---

A) The following is a DFT calculation (PBE-GGA) of SbPAu2 after structural relaxation.

The structure in extended XYZ format:
```
4
Lattice="0.000 3.421 3.421 3.421 0.000 3.421 3.421 3.421 0.000" Properties=species:S:1:pos:R:3 pbc="T T T"
Sb 1.711 1.711 1.711
P 3.421 3.421 3.421
Au 0.000 0.000 0.000
Au 5.132 5.132 5.132
```

Results
Space group = No. 216

---

B) The following is a DFT calculation (PBE-GGA) of SbPAu2 after structural relaxation.

The structure in extended XYZ format:
```
4
Lattice="-3.002 0.644 -0.917 0.230 -2.212 -2.307 -2.630 -5.341 4.861" Properties=species:S:1:pos:R:3 pbc="T T T"
Sb -2.701 -3.455 0.819
P -1.386 -0.784 -1.612
Au -2.071 -4.206 3.828
Au -0.559 -1.135 1.033
```

Results
Space group = No. 123

---

Stability, descending: B), A)

---

A) The following is a DFT calculation (PBE-GGA) of SbPAu2 after structural relaxation.

The structure in extended XYZ format:
```
8
Lattice="-1.502 -4.716 0.670 3.196 -1.518 -3.525 6.137 -4.063 3.775" Properties=species:S:1:pos:R:3 pbc="T T T"
Sb 0.000 0.000 0.000
Sb 2.741 -5.948 1.508
Au 1.122 -3.755 0.865
Au 3.217 -2.951 -1.119
Au 5.507 -5.513 1.463
Au 5.815 -8.374 0.630
P 0.847 -3.117 -1.428
P 5.090 -4.349 -0.589
```

Results
Space group = No. 122

---

B) The following is a DFT calculation (PBE-GGA) of SbPAu2 after structural relaxation.

The structure in extended XYZ format:
```
4
Lattice="-1.878 -4.174 -5.135 -3.233 -5.755 -1.933 -5.118 -2.874 -3.586" Properties=species:S:1:pos:R:3 pbc="T T T"
Sb -2.510 -3.142 -2.614
P -5.058 -6.331 -5.269
Au -0.020 -0.025 -0.021
Au -7.755 -9.706 -8.077
```

Results
Space group = No. 160

---

Stability, descending: B), A)

---

A) The following is a DFT calculation (PBE-GGA) of SbPAu2 after structural relaxation.

The structure in extended XYZ format:
```
4
Lattice="-1.268 -0.534 -3.530 -2.030 -4.205 1.365 -4.595 0.584 1.562" Properties=species:S:1:pos:R:3 pbc="T T T"
Sb -2.421 -1.245 -0.975
P -3.339 -1.822 1.475
Au -6.598 -3.609 2.915
Au -5.473 -2.911 0.373
```

Results
Space group = No. 6

---

B) The following is a DFT calculation (PBE-GGA) of SbPAu2 after structural relaxation.

The structure in extended XYZ format:
```
4
Lattice="-3.747 -1.140 -0.751 0.935 -0.544 -3.839 1.255 -4.771 0.981" Properties=species:S:1:pos:R:3 pbc="T T T"
Sb 0.628 -2.386 0.491
P -0.779 -3.228 -1.804
Au 0.467 -0.272 -1.919
Au -1.874 -0.570 -0.376
```

Results
Space group = No. 123

---

C) The following is a DFT calculation (PBE-GGA) of SbPAu2 after structural relaxation.

The structure in extended XYZ format:
```
4
Lattice="4.794 2.822 -0.369 -4.794 2.822 -0.369 0.000 0.571 2.883" Properties=species:S:1:pos:R:3 pbc="T T T"
Sb 0.000 0.285 1.441
P 0.000 3.108 1.072
Au 2.397 1.411 -0.185
Au -2.397 1.411 -0.185
```

Results
Space group = No. 12

---

D) The following is a DFT calculation (PBE-GGA) of SbPAu2 after structural relaxation.

The structure in extended XYZ format:
```
4
Lattice="3.008 0.000 0.000 0.000 3.813 0.000 0.000 0.000 7.392" Properties=species:S:1:pos:R:3 pbc="T T T"
Sb 1.504 1.906 5.847
P 0.000 0.000 2.995
Au 0.000 0.000 0.164
Au 1.504 1.906 2.082
```

Results
Space group = No. 25

---

Stability, descending: A), D), B), C)

---

A) The following is a DFT calculation (PBE-GGA) of SbPAu2 after structural relaxation.

The structure in extended XYZ format:
```
4
Lattice="-1.998 1.998 4.996 1.998 -1.998 4.996 1.998 1.998 -4.996" Properties=species:S:1:pos:R:3 pbc="T T T"
Sb 0.000 0.000 0.000
P 0.000 0.000 4.996
Au 0.000 1.998 2.498
Au 1.998 0.000 2.498
```

Results
Space group = No. 139

---

B) The following is a DFT calculation (PBE-GGA) of SbPAu2 after structural relaxation.

The structure in extended XYZ format:
```
4
Lattice="3.690 0.000 0.000 0.000 4.212 0.000 0.000 0.000 5.543" Properties=species:S:1:pos:R:3 pbc="T T T"
Sb 0.000 2.106 0.000
P 1.845 2.106 2.771
Au 1.845 0.000 4.179
Au 1.845 0.000 1.364
```

Results
Space group = No. 47

---

Stability, descending: B), A)

---

A) The following is a DFT calculation (PBE-GGA) of SbPAu3 after structural relaxation.

The structure in extended XYZ format:
```
5
Lattice="-3.285 -2.789 2.140 -1.714 -1.287 -4.307 3.069 -3.703 -0.115" Properties=species:S:1:pos:R:3 pbc="T T T"
Sb -0.964 -3.889 -1.141
Au -0.857 -0.644 -2.154
Au 1.535 -1.851 -0.057
Au -1.642 -1.394 1.070
P 0.000 0.000 0.000
```

Results
Space group = No. 221

---

B) The following is a DFT calculation (PBE-GGA) of SbPAu3 after structural relaxation.

The structure in extended XYZ format:
```
5
Lattice="-3.134 1.931 3.735 -2.458 -4.621 0.326 3.412 -1.556 3.667" Properties=species:S:1:pos:R:3 pbc="T T T"
Sb 0.000 0.000 0.000
Au -1.229 -2.311 0.163
Au 1.706 -0.778 1.833
Au -1.567 0.965 1.868
P -1.090 -2.123 3.864
```

Results
Space group = No. 221

---

Stability, descending: A), B)